Density functional theory data (PBE+U) for a geometry-optimized V2SiSnO structure.

Cell: 4.7702 5.0578 4.7702 Å, 90.00 90.00 90.00°
Fractional positions:
1 Sn 0.0000 0.5000 0.0000
2 O 0.5000 0.5000 0.5000
3 V 0.5000 0.0000 0.0000
4 V 0.0000 0.0000 0.5000
5 Si 0.0000 0.0000 0.0000

space group = P4/mmm (123)
ρ = 3.82 g/cm³
energy = -4.678 eV per atom

Density functional theory data (PBE+U) for a geometry-optimized Si2SnWO structure.

Cell: 4.7706 5.3674 4.7706 Å, 90.00 90.00 90.00°
Fractional positions:
1 Sn 0.0000 0.5000 0.0000
2 Si 0.5000 0.0000 0.0000
3 Si 0.0000 0.0000 0.5000
4 W 0.0000 0.0000 0.0000
5 O 0.5000 0.5000 0.5000

space group = P4/mmm (123)
ρ = 5.09 g/cm³
energy = -4.419 eV per atom

What is the ρ in the second record?
5.09 g/cm³

energy of number 1 (V2SiSnO)?
-4.678 eV per atom

Among the records above, which one has the lowest energy?
V2SiSnO